1.
# Cr2CoBr

A relaxed Cr2CoBr crystal (PBE, the Alexandria database).

```
Cr2CoBr
1.0
4.8783 0.0016 0.0000
2.1554 4.3763 0.0000
-3.5169 -2.1890 2.5764
Cr Co Br
2 1 1
Cartesian
0.0000 0.0000 0.0000
1.0777 2.1882 1.2882
2.4392 0.0008 1.2882
3.5169 2.1890 0.0000
```

Computed properties:
Symmetry: I-4m2, No. 119
Calculated total energy: -6.024 eV per atom
DOS at the Fermi energy: 5.02 states/eV/f.u.
Energy relative to the lowest polymorph listed for this composition: 532 meV per atom
Total magnetization: 5.42 μB per formula unit



2.
# CsAlCdSb2

A relaxed CsAlCdSb2 crystal (PBE, the Alexandria database).

```
CsAlCdSb2
1.0
-6.9065 1.4396 0.8925
-1.5612 -5.0264 -3.9739
0.5676 -2.4608 8.3619
Sb Al Cd Cs
4 2 2 2
Cartesian
-5.7790 -5.4363 3.6739
-2.2447 -3.4971 5.3051
-5.6554 -2.5505 -0.0247
-2.1212 -0.6113 1.6065
-3.8436 -0.5368 -0.5473
-4.6242 -3.0500 -2.5342
0.0000 0.0000 0.0000
-0.7806 -2.5132 -1.9870
-2.5481 -4.6539 1.4151
-5.3521 -1.3936 3.8653
```

Computed properties:
Symmetry: Cmme, No. 67
Calculated total energy: -3.022 eV per atom
DOS at the Fermi energy: 0.07 states/eV/f.u.
Total magnetization: 0.00 μB per formula unit



3.
# GeAsPt3

A relaxed GeAsPt3 crystal (PBE, the Alexandria database).

```
GeAsPt3
1.0
-0.3380 3.3470 -3.2765
-3.9342 1.5798 2.0196
2.5417 2.8904 2.6904
Pt As Ge
3 1 1
Cartesian
1.2708 1.4452 1.3452
-1.9671 0.7899 1.0098
-0.1690 1.6735 -1.6383
0.0000 0.0000 0.0000
-0.8653 3.9086 0.7167
```

Computed properties:
Symmetry: Pm-3m, No. 221
Calculated total energy: -5.064 eV per atom
DOS at the Fermi energy: 2.56 states/eV/f.u.
Energy relative to the lowest polymorph listed for this composition: 0 meV per atom
Total magnetization: 0.00 μB per formula unit
Energy of formation: 9.539 kcal/mol of atoms